Compound: TmNpMn2O6
Source: Alexandria via LeMat-Bulk
Functional: GGA+U
Structure: relaxed

Cell lengths 5.941, 5.941, 5.941 Å; angles 56.00, 56.00, 56.00 degrees
Positions (direct):
Tm 0.000 0.000 0.000
Np 0.505 0.505 0.505
Mn 0.211 0.211 0.211
Mn 0.717 0.717 0.717
O 0.112 0.403 0.790
O 0.301 0.894 0.601
O 0.403 0.790 0.112
O 0.601 0.301 0.894
O 0.790 0.112 0.403
O 0.894 0.601 0.301

The calculation puts the total energy at -87.98 eV/cell. The calculation puts the density of states at the Fermi level at 8.0 states/eV/f.u. Its size of the total moment is 12.00 μB per formula unit.